A geometry-optimized SrScAu2 structure. Source: Alexandria via LeMat-Bulk, functional GGA-PBEsol.

Cell lengths 3.478, 3.478, 7.363 Å; angles 90.00, 90.00, 90.00 degrees
Sites, in units of the cell vectors:
Sr  0.000  0.000  0.000
Sc  0.000  0.000  0.500
Au  0.500  0.500  0.300
Au  0.500  0.500  0.700

## Properties
Formation energy (kJ/mol of atoms): -70.21
Space-group type: P4/mmm (123)
Final energy (eV per atom): -4.80
Spin magnetization (μB per formula unit): 0.00
ΔE to the lowest computed polymorph (meV/atom): 0
Calculated density (g cm⁻³): 9.81

A geometry-optimized Lu3Mg2CrS8 structure. Source: Alexandria via LeMat-Bulk, functional GGA-PBEsol.

Cell lengths 7.503, 7.503, 7.503 Å; angles 60.69, 60.69, 60.69 degrees
Sites, in units of the cell vectors:
Lu  0.000  0.500  0.500
Lu  0.500  0.000  0.500
Lu  0.500  0.500  0.000
Mg  0.125  0.125  0.125
Mg  0.875  0.875  0.875
Cr  0.500  0.500  0.500
S  0.256  0.256  0.256
S  0.270  0.270  0.725
S  0.270  0.725  0.270
S  0.275  0.730  0.730
S  0.725  0.270  0.270
S  0.730  0.275  0.730
S  0.730  0.730  0.275
S  0.744  0.744  0.744

## Properties
Space-group type: R-3m (166)
Final energy (eV per atom): -6.15
Spin magnetization (μB per formula unit): 3.00
Formation energy without anion corrections (meV/atom): -1622
Calculated density (g cm⁻³): 4.83

A geometry-optimized Nb3TlZn structure. Source: Alexandria via LeMat-Bulk, functional GGA-PBEsol.

Cell lengths 4.686, 4.686, 4.686 Å; angles 90.00, 90.00, 90.00 degrees
Sites, in units of the cell vectors:
Nb  0.000  0.000  0.500
Nb  0.000  0.500  0.000
Nb  0.500  0.000  0.000
Tl  0.500  0.500  0.500
Zn  0.000  0.000  0.000

## Properties
Formation energy (kJ/mol of atoms): 98.53
Space-group type: Pm-3m (221)
Final energy (eV per atom): -6.31
Spin magnetization (μB per formula unit): 0.00
Calculated density (g cm⁻³): 8.85

A geometry-optimized Sc5Zn4 structure. Source: Alexandria via LeMat-Bulk, functional GGA-PBEsol.

Cell lengths 8.185, 8.185, 5.887 Å; angles 90.00, 90.00, 120.00 degrees
Sites, in units of the cell vectors:
Sc  0.000  0.296  0.250
Sc  0.000  0.704  0.750
Sc  0.296  0.000  0.250
Sc  0.296  0.296  0.750
Sc  0.333  0.667  0.000
Sc  0.333  0.667  0.500
Sc  0.667  0.333  0.000
Sc  0.667  0.333  0.500
Sc  0.704  0.000  0.750
Sc  0.704  0.704  0.250
Zn  0.000  0.000  0.000
Zn  0.000  0.000  0.500
Zn  0.000  0.368  0.750
Zn  0.000  0.632  0.250
Zn  0.368  0.000  0.750
Zn  0.368  0.368  0.250
Zn  0.632  0.000  0.250
Zn  0.632  0.632  0.750

## Properties
Formation energy (kJ/mol of atoms): -24.94
Space-group type: P6_3/mcm (193)
Final energy (eV per atom): -4.63
Spin magnetization (μB per formula unit): 0.00
Calculated density (g cm⁻³): 4.73

A geometry-optimized TlBNO2 structure. Source: Alexandria via LeMat-Bulk, functional GGA-PBEsol.

Cell lengths 4.022, 4.022, 2.924 Å; angles 90.00, 90.00, 90.00 degrees
Sites, in units of the cell vectors:
Tl  0.000  0.000  0.000
B  0.500  0.500  0.500
N  0.500  0.500  0.000
O  0.000  0.500  0.500
O  0.500  0.000  0.500

## Properties
Space-group type: P4/mmm (123)
Final energy (eV per atom): -5.63
Spin magnetization (μB per formula unit): 1.26
Formation energy without anion corrections (meV/atom): 103
Calculated density (g cm⁻³): 9.17

A geometry-optimized Ag2RuRh structure. Source: Alexandria via LeMat-Bulk, functional GGA-PBEsol.

Cell lengths 6.223, 6.223, 6.223 Å; angles 90.00, 90.00, 90.00 degrees
Sites, in units of the cell vectors:
Ag  0.250  0.250  0.250
Ag  0.250  0.250  0.750
Ag  0.250  0.750  0.250
Ag  0.250  0.750  0.750
Ag  0.750  0.250  0.250
Ag  0.750  0.250  0.750
Ag  0.750  0.750  0.250
Ag  0.750  0.750  0.750
Ru  0.000  0.000  0.000
Ru  0.000  0.500  0.500
Ru  0.500  0.000  0.500
Ru  0.500  0.500  0.000
Rh  0.000  0.000  0.500
Rh  0.000  0.500  0.000
Rh  0.500  0.000  0.000
Rh  0.500  0.500  0.500

## Properties
Formation energy (kJ/mol of atoms): 68.21
Space-group type: Fm-3m (225)
Final energy (eV per atom): -5.53
Spin magnetization (μB per formula unit): 1.75
ΔE to the lowest computed polymorph (meV/atom): 349
Calculated density (g cm⁻³): 11.57